Below is a relaxed LiNd2Cd crystal, with properties calculated at the PBE level.

Computed properties:
Spin magnetization = 1.68 μB/cell
Polymorph energy (0 for the lowest one) = 4 meV per atom
Crystal system = cubic
Uncorrected energy = -3.212 eV/atom
Formation energy from the elements = -120.6 meV/atom

```
data_LiNd2Cd
_space_group_name_H-M_alt 'F m -3 m'
_space_group_IT_number 225
_space_group_name_Hall '-F 4 2 3'
_cell_length_a 7.674
_cell_length_b 7.674
_cell_length_c 7.674
_cell_angle_alpha 90.00
_cell_angle_beta 90.00
_cell_angle_gamma 90.00
loop_
_atom_site_label
_atom_site_type_symbol
_atom_site_fract_x
_atom_site_fract_y
_atom_site_fract_z
Li1 Li 0.000 0.000 0.000
Nd1 Nd 0.250 0.250 0.250
Cd1 Cd 0.000 0.000 0.500
```

***

Below is a relaxed LiNdCd crystal, with properties calculated at the PBE level.

Computed properties:
Spin magnetization = 0.09 μB/cell
Polymorph energy (0 for the lowest one) = 0 meV per atom
Crystal system = hexagonal
Uncorrected energy = -2.729 eV/atom
Formation energy from the elements = -196.9 meV/atom

```
data_LiNdCd
_space_group_name_H-M_alt 'P -6 m 2'
_space_group_IT_number 187
_space_group_name_Hall 'P -6 2'
_cell_length_a 5.0699
_cell_length_b 5.0699
_cell_length_c 3.3443
_cell_angle_alpha 90.00
_cell_angle_beta 90.00
_cell_angle_gamma 120.00
loop_
_atom_site_label
_atom_site_type_symbol
_atom_site_fract_x
_atom_site_fract_y
_atom_site_fract_z
Li1 Li 0.0000 0.0000 0.0000
Nd1 Nd 0.6667 0.3333 0.5000
Cd1 Cd 0.3333 0.6667 0.0000
```

***

Below is a relaxed LiNdCd3 crystal, with properties calculated at the PBE level.

Computed properties:
Spin magnetization = 0.00 μB/cell
Polymorph energy (0 for the lowest one) = 41 meV per atom
Crystal system = monoclinic
Uncorrected energy = -2.085 eV/atom
Formation energy from the elements = -199.7 meV/atom

```
data_LiNdCd3
_space_group_name_H-M_alt 'P 1 21/m 1'
_space_group_IT_number 11
_cell_length_a 6.513
_cell_length_b 6.346
_cell_length_c 6.650
_cell_angle_alpha 90.00
_cell_angle_beta 119.30
_cell_angle_gamma 90.00
loop_
_space_group_symop_operation_xyz
'x,y,z'
'-x,-y,-z'
'-x,y+1/2,-z'
'x,-y+1/2,z'
loop_
_atom_site_label
_atom_site_type_symbol
_atom_site_fract_x
_atom_site_fract_y
_atom_site_fract_z
Li1 Li 0.111 0.250 0.221
Nd1 Nd 0.232 0.750 0.466
Cd1 Cd 0.265 0.000 0.999
Cd2 Cd 0.332 0.250 0.664
```

***

Below is a relaxed LiNdCd3 crystal, with properties calculated at the PBE level.

Computed properties:
Spin magnetization = 0.00 μB/cell
Polymorph energy (0 for the lowest one) = 0 meV per atom
Crystal system = hexagonal
Uncorrected energy = -2.126 eV/atom
Formation energy from the elements = -240.4 meV/atom

```
data_LiNdCd3
_space_group_name_H-M_alt 'P 63/m m c'
_space_group_IT_number 194
_space_group_name_Hall '-P 6c 2c'
_cell_length_a 6.9048
_cell_length_b 6.9048
_cell_length_c 5.6159
_cell_angle_alpha 90.00
_cell_angle_beta 90.00
_cell_angle_gamma 120.00
loop_
_atom_site_label
_atom_site_type_symbol
_atom_site_fract_x
_atom_site_fract_y
_atom_site_fract_z
Li1 Li 0.0000 0.0000 0.0000
Nd1 Nd 0.3333 0.6667 0.2500
Cd1 Cd 0.1876 0.3752 0.7500
```

***

Below is a relaxed LiNd4Cd3 crystal, with properties calculated at the PBE level.

Computed properties:
Spin magnetization = 0.00 μB/cell
Crystal system = trigonal
Uncorrected energy = -3.196 eV/atom
Formation energy from the elements = -229.8 meV/atom

```
data_LiNd4Cd3
_space_group_name_H-M_alt 'R -3 m'
_space_group_IT_number 166
_space_group_name_Hall '-R 3 2"'
_cell_length_a 5.4397
_cell_length_b 5.4397
_cell_length_c 26.6430
_cell_angle_alpha 90.00
_cell_angle_beta 90.00
_cell_angle_gamma 120.00
loop_
_atom_site_label
_atom_site_type_symbol
_atom_site_fract_x
_atom_site_fract_y
_atom_site_fract_z
Li1 Li 0.0000 0.0000 0.0000
Nd1 Nd 0.0000 0.0000 0.1247
Nd2 Nd 0.0000 0.0000 0.3751
Cd1 Cd 0.0000 0.0000 0.2520
Cd2 Cd 0.0000 0.0000 0.5000
```

***

Below is a relaxed Li7NdCd5 crystal, with properties calculated at the PBE level.

Computed properties:
Spin magnetization = 0.00 μB/cell
Crystal system = orthorhombic
Uncorrected energy = -1.938 eV/atom
Formation energy from the elements = -188.9 meV/atom

```
data_Li7NdCd5
_space_group_name_H-M_alt 'I m m 2'
_space_group_IT_number 44
_cell_length_a 5.745
_cell_length_b 9.848
_cell_length_c 9.604
_cell_angle_alpha 90.00
_cell_angle_beta 90.00
_cell_angle_gamma 90.00
loop_
_space_group_symop_operation_xyz
'x,y,z'
'-x,-y,z'
'-x,y,z'
'x,-y,z'
'x+1/2,y+1/2,z+1/2'
'-x+1/2,-y+1/2,z+1/2'
'-x+1/2,y+1/2,z+1/2'
'x+1/2,-y+1/2,z+1/2'
loop_
_atom_site_label
_atom_site_type_symbol
_atom_site_fract_x
_atom_site_fract_y
_atom_site_fract_z
Li1 Li 0.000 0.000 0.000
Li2 Li 0.000 0.000 0.305
Li3 Li 0.000 0.283 0.149
Li4 Li 0.000 0.352 0.657
Li5 Li 0.000 0.500 0.364
Nd1 Nd 0.000 0.000 0.651
Cd1 Cd 0.000 0.500 0.953
Cd2 Cd 0.248 0.259 0.400
```

***

Repeat the fifth record exactly.
Below is a relaxed LiNd4Cd3 crystal, with properties calculated at the PBE level.

Computed properties:
Spin magnetization = 0.00 μB/cell
Crystal system = trigonal
Uncorrected energy = -3.196 eV/atom
Formation energy from the elements = -229.8 meV/atom

```
data_LiNd4Cd3
_space_group_name_H-M_alt 'R -3 m'
_space_group_IT_number 166
_space_group_name_Hall '-R 3 2"'
_cell_length_a 5.4397
_cell_length_b 5.4397
_cell_length_c 26.6430
_cell_angle_alpha 90.00
_cell_angle_beta 90.00
_cell_angle_gamma 120.00
loop_
_atom_site_label
_atom_site_type_symbol
_atom_site_fract_x
_atom_site_fract_y
_atom_site_fract_z
Li1 Li 0.0000 0.0000 0.0000
Nd1 Nd 0.0000 0.0000 0.1247
Nd2 Nd 0.0000 0.0000 0.3751
Cd1 Cd 0.0000 0.0000 0.2520
Cd2 Cd 0.0000 0.0000 0.5000
```